Density functional theory data (GGA-PBE) for a relaxed structure of NdNpHgO6.

Cell: 5.206 5.206 10.611 Å, 90.00 90.00 90.00°
Space group P4_2nm (No. 102)
Symmetry-distinct sites (fractional):
Nd1 0.000 0.000 0.000 [2 per cell]
Np1 0.000 0.000 0.665 [2 per cell]
Hg1 0.000 0.000 0.330 [2 per cell]
O1 0.182 0.182 0.813 [4 per cell]
O2 0.186 0.186 0.523 [4 per cell]
O3 0.227 0.227 0.162 [4 per cell]

Results
Total moment ... 0.000 μB/cell
Calculated total energy ... -7.549 eV per atom
Formation energy (no corrections) ... -2242 meV per atom


Density functional theory data (GGA-PBE) for a relaxed structure of ZnWAu2.

Cell: 4.140 4.140 7.791 Å, 90.00 90.00 90.00°
Space group I-4m2 (No. 119)
Symmetry-distinct sites (fractional):
Zn1 0.000 0.000 0.000 [2 per cell]
W1 0.000 0.500 0.250 [2 per cell]
Au1 0.000 0.000 0.500 [2 per cell]
Au2 0.000 0.500 0.750 [2 per cell]

Results
Total moment ... 2.978 μB/cell
Calculated total energy ... -4.713 eV per atom
Energy relative to the elements ... 0.483 eV/atom


Density functional theory data (GGA-PBE) for a relaxed structure of CrCoP2.

Cell: 5.771 5.771 5.771 Å, 90.00 90.00 90.00°
Space group F-43m (No. 216)
Symmetry-distinct sites (fractional):
Cr1 0.000 0.000 0.000 [4 per cell]
Co1 0.250 0.250 0.750 [4 per cell]
P1 0.000 0.000 0.500 [4 per cell]
P2 0.250 0.250 0.250 [4 per cell]

Results
Total moment ... 6.387 μB/cell
Calculated total energy ... -6.561 eV per atom
Distance to the lowest polymorph of the same formula ... 669.2 meV per atom
Energy relative to the elements ... 0.326 eV/atom


Density functional theory data (GGA-PBE) for a relaxed structure of HPdO.

Cell: 3.016 3.016 3.430 Å, 90.00 90.00 90.00°
Space group P4mm (No. 99)
Symmetry-distinct sites (fractional):
H1 0.000 0.000 0.000 [1 per cell]
Pd1 0.000 0.000 0.506 [1 per cell]
O1 0.500 0.500 0.452 [1 per cell]

Results
Total moment ... 0.000 μB/cell
Calculated total energy ... -4.404 eV per atom
Distance to the lowest polymorph of the same formula ... 302.3 meV per atom


Density functional theory data (GGA-PBE) for a relaxed structure of Ce2Cu2Hg.

Cell: 4.377 14.103 3.604 Å, 90.00 90.00 90.00°
Space group Cmmm (No. 65)
Symmetry-distinct sites (fractional):
Ce1 0.000 0.129 0.000 [4 per cell]
Cu1 0.000 0.297 0.500 [4 per cell]
Hg1 0.000 0.500 0.500 [2 per cell]

Results
Total moment ... 3.465 μB/cell
Calculated total energy ... -4.276 eV per atom
Energy relative to the elements ... -0.203 eV/atom


Density functional theory data (GGA-PBE) for a relaxed structure of TbPm8Nd6.

Cell: 9.5599 9.5599 6.6922 Å, 90.00 90.00 120.00°
Space group P-3 (No. 147)
Symmetry-distinct sites (fractional):
Tb1 0.0000 0.0000 0.0000 [1 per cell]
Pm1 0.0289 0.7481 0.6639 [6 per cell]
Pm2 0.3333 0.6667 0.6117 [2 per cell]
Nd1 0.0845 0.6521 0.1610 [6 per cell]

Results
Total moment ... 0.000 μB/cell
Calculated total energy ... -4.587 eV per atom
Distance to the lowest polymorph of the same formula ... 51.4 meV per atom
Energy relative to the elements ... 0.163 eV/atom


Density functional theory data (GGA-PBE) for a relaxed structure of NaSnRh3.

Cell: 4.514 4.514 4.514 Å, 90.00 90.00 90.00°
Space group Pm-3m (No. 221)
Symmetry-distinct sites (fractional):
Na1 0.000 0.000 0.000 [1 per cell]
Sn1 0.500 0.500 0.500 [1 per cell]
Rh1 0.000 0.000 0.500 [3 per cell]

Results
Total moment ... 0.000 μB/cell
Calculated total energy ... -4.253 eV per atom
Distance to the lowest polymorph of the same formula ... 411.5 meV per atom
Energy relative to the elements ... 1.222 eV/atom


Density functional theory data (GGA-PBE) for a relaxed structure of LiVZn2Fe.

Cell: 4.150 4.150 4.267 Å, 90.00 90.00 90.00°
Space group P4/mmm (No. 123)
Symmetry-distinct sites (fractional):
Li1 0.000 0.000 0.000 [1 per cell]
V1 0.000 0.000 0.500 [1 per cell]
Zn1 0.000 0.500 0.000 [2 per cell]
Fe1 0.500 0.500 0.500 [1 per cell]

Results
Total moment ... 4.857 μB/cell
Calculated total energy ... -3.501 eV per atom
Energy relative to the elements ... 0.908 eV/atom


Density functional theory data (GGA-PBE) for a relaxed structure of Na2Cd6Pb.

Cell: 8.9548 8.9548 9.7611 Å, 90.00 90.00 120.00°
Space group R-3m (No. 166, hexagonal axes)
Symmetry-distinct sites (fractional):
Na1 0.0000 0.0000 0.1663 [6 per cell]
Cd1 0.0000 0.3325 0.0000 [18 per cell]
Pb1 0.0000 0.0000 0.5000 [3 per cell]

Results
Total moment ... 0.000 μB/cell
Calculated total energy ... -1.400 eV per atom
Energy relative to the elements ... -0.084 eV/atom


Density functional theory data (GGA-PBE) for a relaxed structure of Na2In3Ga.

Cell: 11.356 4.831 7.564 Å, 90.00 130.37 90.00°
Space group Cm (No. 8)
Symmetry-distinct sites (fractional):
Na1 0.000 0.000 0.000 [2 per cell]
Na2 0.107 0.000 0.605 [2 per cell]
In1 0.217 0.500 0.401 [2 per cell]
In2 0.382 0.000 0.182 [2 per cell]
In3 0.408 0.000 0.621 [2 per cell]
Ga1 0.219 0.500 0.020 [2 per cell]

Results
Total moment ... 0.000 μB/cell
Calculated total energy ... -2.437 eV per atom
Distance to the lowest polymorph of the same formula ... 0.0 meV per atom
Energy relative to the elements ... -0.124 eV/atom


Density functional theory data (GGA-PBE) for a relaxed structure of Pa2TePt.

Cell: 3.467 3.467 7.790 Å, 90.00 90.00 90.00°
Space group P4/mmm (No. 123)
Symmetry-distinct sites (fractional):
Pa1 0.000 0.000 0.233 [2 per cell]
Te1 0.500 0.500 0.500 [1 per cell]
Pt1 0.500 0.500 0.000 [1 per cell]

Results
Total moment ... 0.008 μB/cell
Calculated total energy ... -7.723 eV per atom
Distance to the lowest polymorph of the same formula ... 41.0 meV per atom
Formation energy (no corrections) ... -679 meV per atom


Density functional theory data (GGA-PBE) for a relaxed structure of TbPrPu2P4.

Cell: 7.004 4.058 7.012 Å, 90.00 109.62 90.00°
Space group P2/m (No. 10)
Symmetry-distinct sites (fractional):
Tb1 0.000 0.000 0.000 [1 per cell]
Pr1 0.000 0.500 0.500 [1 per cell]
Pu1 0.500 0.000 0.500 [1 per cell]
Pu2 0.500 0.500 0.000 [1 per cell]
P1 0.260 0.500 0.249 [2 per cell]
P2 0.264 0.000 0.761 [2 per cell]

Results
Total moment ... 0.087 μB/cell
Calculated total energy ... -8.781 eV per atom
Energy relative to the elements ... -1.317 eV/atom


Density functional theory data (GGA-PBE) for a relaxed structure of AcLaTb2Nd.

Cell: 6.540 17.630 6.653 Å, 90.00 90.00 90.00°
Space group Cmcm (No. 63)
Symmetry-distinct sites (fractional):
Ac1 0.000 0.156 0.250 [4 per cell]
La1 0.000 0.347 0.250 [4 per cell]
Tb1 0.247 0.000 0.000 [8 per cell]
Nd1 0.000 0.218 0.750 [4 per cell]

Results
Total moment ... 0.000 μB/cell
Calculated total energy ... -4.267 eV per atom
Energy relative to the elements ... 0.346 eV/atom


Density functional theory data (GGA-PBE) for a relaxed structure of MgZn4Pd3.

Cell: 9.016 5.728 4.640 Å, 90.00 90.00 90.00°
Space group Pmma (No. 51)
Symmetry-distinct sites (fractional):
Mg1 0.000 0.000 0.000 [2 per cell]
Zn1 0.000 0.261 0.500 [4 per cell]
Zn2 0.250 0.262 0.122 [4 per cell]
Pd1 0.000 0.500 0.000 [2 per cell]
Pd2 0.250 0.000 0.626 [2 per cell]
Pd3 0.250 0.500 0.618 [2 per cell]

Results
Total moment ... 0.000 μB/cell
Calculated total energy ... -3.238 eV per atom
Energy relative to the elements ... -0.454 eV/atom


Density functional theory data (GGA-PBE) for a relaxed structure of LaPmNiAu.

Cell: 7.295 7.295 7.295 Å, 90.00 90.00 90.00°
Space group F-43m (No. 216)
Symmetry-distinct sites (fractional):
La1 0.000 0.000 0.000 [4 per cell]
Pm1 0.000 0.000 0.500 [4 per cell]
Ni1 0.250 0.250 0.750 [4 per cell]
Au1 0.250 0.250 0.250 [4 per cell]

Results
Total moment ... 0.000 μB/cell
Calculated total energy ... -5.154 eV per atom
Distance to the lowest polymorph of the same formula ... 74.1 meV per atom
Energy relative to the elements ... -0.470 eV/atom


Density functional theory data (GGA-PBE) for a relaxed structure of TiCo2RuPb.

Cell: 4.198 4.198 5.208 Å, 90.00 90.00 90.00°
Space group P4/mmm (No. 123)
Symmetry-distinct sites (fractional):
Ti1 0.000 0.000 0.000 [1 per cell]
Co1 0.000 0.500 0.000 [2 per cell]
Ru1 0.500 0.500 0.500 [1 per cell]
Pb1 0.000 0.000 0.500 [1 per cell]

Results
Total moment ... 2.295 μB/cell
Calculated total energy ... -5.667 eV per atom
Energy relative to the elements ... 1.351 eV/atom


Density functional theory data (GGA-PBE) for a relaxed structure of Ba4SrOs.

Cell: 10.079 10.079 10.079 Å, 90.00 90.00 90.00°
Space group F-43m (No. 216)
Symmetry-distinct sites (fractional):
Ba1 0.122 0.122 0.122 [16 per cell]
Sr1 0.000 0.000 0.500 [4 per cell]
Os1 0.250 0.250 0.750 [4 per cell]

Results
Total moment ... 0.732 μB/cell
Calculated total energy ... -2.295 eV per atom
Energy relative to the elements ... 1.138 eV/atom


Density functional theory data (GGA-PBE) for a relaxed structure of CrIn2Ru.

Cell: 10.482 3.058 4.774 Å, 90.00 111.86 90.00°
Space group Cm (No. 8)
Symmetry-distinct sites (fractional):
Cr1 0.000 0.000 0.000 [2 per cell]
In1 0.238 0.000 0.834 [2 per cell]
In2 0.453 0.000 0.463 [2 per cell]
Ru1 0.200 0.500 0.314 [2 per cell]

Results
Total moment ... 5.526 μB/cell
Calculated total energy ... -5.857 eV per atom
Distance to the lowest polymorph of the same formula ... 90.9 meV per atom
Energy relative to the elements ... 0.237 eV/atom


Density functional theory data (GGA-PBE) for a relaxed structure of AcPmHo6Er2.

Cell: 9.221 15.186 9.509 Å, 90.00 94.88 90.00°
Space group C2/c (No. 15)
Symmetry-distinct sites (fractional):
Ac1 0.000 0.033 0.250 [4 per cell]
Pm1 0.000 0.411 0.750 [4 per cell]
Ho1 0.062 0.187 0.942 [8 per cell]
Ho2 0.099 0.388 0.116 [8 per cell]
Ho3 0.214 0.231 0.322 [8 per cell]
Er1 0.244 0.443 0.451 [8 per cell]

Results
Total moment ... 0.001 μB/cell
Calculated total energy ... -4.412 eV per atom
Energy relative to the elements ... 0.133 eV/atom


Density functional theory data (GGA-PBE) for a relaxed structure of Tb4Dy3Th2.

Cell: 3.5567 3.5567 26.5105 Å, 90.00 90.00 120.00°
Space group P3m1 (No. 156)
Symmetry-distinct sites (fractional):
Tb1 0.0000 0.0000 0.0000 [1 per cell]
Tb2 0.0000 0.0000 0.2149 [1 per cell]
Tb3 0.3333 0.6667 0.3232 [1 per cell]
Tb4 0.3333 0.6667 0.5402 [1 per cell]
Dy1 0.0000 0.0000 0.4311 [1 per cell]
Dy2 0.3333 0.6667 0.1060 [1 per cell]
Dy3 0.3333 0.6667 0.7614 [1 per cell]
Th1 0.0000 0.0000 0.6502 [1 per cell]
Th2 0.0000 0.0000 0.8717 [1 per cell]

Results
Total moment ... 0.000 μB/cell
Calculated total energy ... -5.171 eV per atom
Distance to the lowest polymorph of the same formula ... 70.3 meV per atom
Energy relative to the elements ... 0.070 eV/atom


Density functional theory data (GGA-PBE) for a relaxed structure of NaTcP2N6.

Cell: 10.117 11.053 5.307 Å, 90.00 113.47 90.00°
Space group C2/c (No. 15)
Symmetry-distinct sites (fractional):
Na1 0.000 0.080 0.250 [4 per cell]
Tc1 0.000 0.225 0.750 [4 per cell]
P1 0.202 0.430 0.185 [8 per cell]
N1 0.092 0.312 0.052 [8 per cell]
N2 0.131 0.122 0.702 [8 per cell]
N3 0.178 0.470 0.454 [8 per cell]

Results
Total moment ... 0.000 μB/cell
Calculated total energy ... -7.330 eV per atom
Formation energy (no corrections) ... -85 meV per atom


Density functional theory data (GGA-PBE) for a relaxed structure of CsZn3As3.

Cell: 7.103 7.103 7.103 Å, 90.00 90.00 90.00°
Space group Pm-3n (No. 223)
Symmetry-distinct sites (fractional):
Cs1 0.000 0.000 0.000 [2 per cell]
Zn1 0.000 0.250 0.500 [6 per cell]
As1 0.000 0.500 0.250 [6 per cell]

Results
Total moment ... 0.000 μB/cell
Calculated total energy ... -2.915 eV per atom
Distance to the lowest polymorph of the same formula ... 0.0 meV per atom
Energy relative to the elements ... -0.255 eV/atom


Density functional theory data (GGA-PBE) for a relaxed structure of BaIn8Au2.

Cell: 6.371 6.371 9.404 Å, 90.00 90.00 90.00°
Space group P4/mmm (No. 123)
Symmetry-distinct sites (fractional):
Ba1 0.000 0.000 0.000 [1 per cell]
In1 0.252 0.252 0.305 [8 per cell]
Au1 0.000 0.500 0.500 [2 per cell]

Results
Total moment ... 0.000 μB/cell
Calculated total energy ... -2.820 eV per atom
Energy relative to the elements ... -0.058 eV/atom